Computed, not measured: a geometry-optimized Dy8TeSe6 structure at the PBE level of DFT.

Summary:
* final energy: -5.42 eV/atom
* space-group type: P-3 (147)

Structure (POSCAR):
```
Dy8TeSe6
1.0
10.4926 0.0000 0.0000
-5.2463 9.0869 0.0000
0.0000 0.0000 4.0938
Dy Te Se
8 1 6
Direct
0.0366 0.3265 0.2585
0.2899 0.9634 0.2585
0.3265 0.2899 0.7415
0.3333 0.6667 0.7470
0.6667 0.3333 0.2530
0.6735 0.7101 0.2585
0.7101 0.0366 0.7415
0.9634 0.6735 0.7415
0.0000 0.0000 0.5000
0.1310 0.6487 0.2463
0.3513 0.4823 0.2463
0.4823 0.1310 0.7537
0.5177 0.8690 0.2463
0.6487 0.5177 0.7537
0.8690 0.3513 0.7537
```


Computed, not measured: a geometry-optimized Ta6Mo structure at the PBE level of DFT.

Summary:
* calculated formation energy: 0.27 eV per atom
* space-group type: P-1 (2)
* polymorph energy (0 for the lowest one): 337 meV per atom

Structure (POSCAR):
```
Ta6Mo
1.0
5.2331 0.0000 0.0000
-0.0017 5.4544 0.0000
-1.4304 -2.7264 4.6112
Ta Mo
6 1
Direct
0.0014 0.2527 0.0005
0.1330 0.7666 0.5333
0.4157 0.3278 0.6552
0.5843 0.6722 0.3448
0.8670 0.2334 0.4667
0.9986 0.7473 0.9995
0.5000 0.0000 0.0000
```